(1)
A geometry-optimized FePbS2 structure. Source: Alexandria via LeMat-Bulk, functional GGA-PBE.

Values from the calculation:
The value obtained for the total magnetic moment is 0.00 μB/cell. Its total energy is -43.06 eV for the cell shown. The value obtained for the uncorrected formation energy is -6.4 kcal/mol of atoms.

```
FePbS2
1.0
-0.733 -5.102 4.498
6.143 -2.439 -1.765
4.155 -1.858 3.772
Pb S Fe
2 4 2
direct
0.000 0.000 0.000
0.750 0.250 0.500
0.516 0.125 0.250
0.234 0.625 0.250
0.375 0.484 0.750
0.875 0.766 0.750
0.500 0.500 0.000
0.250 0.750 0.500
```

***

(2)
A geometry-optimized CsLaIn3 structure. Source: Alexandria via LeMat-Bulk, functional GGA-PBE.

Values from the calculation:
The value obtained for the total magnetic moment is 0.00 μB/cell. Its total energy is -9.48 eV for the cell shown.

```
CsLaIn3
1.0
5.887 0.000 0.000
0.000 5.887 0.000
0.000 0.000 5.887
Cs In La
1 3 1
direct
0.000 0.000 0.000
0.000 0.500 0.000
0.000 0.000 0.500
0.500 0.000 0.000
0.500 0.500 0.500
```

***

(3)
A geometry-optimized AcNd6Dy3 structure. Source: Alexandria via LeMat-Bulk, functional GGA-PBE.

Values from the calculation:
The value obtained for the total magnetic moment is 0.00 μB/cell. Its total energy is -91.62 eV for the cell shown.

```
AcNd6Dy3
1.0
-1.479 -0.495 -3.373
-10.104 -5.921 5.299
-8.292 12.207 1.846
Ac Nd Dy
2 12 6
direct
0.250 0.343 0.868
0.750 0.657 0.132
0.250 0.399 0.534
0.750 0.601 0.466
0.250 0.872 0.993
0.750 0.128 0.007
0.250 0.774 0.576
0.750 0.226 0.424
0.250 0.757 0.317
0.750 0.243 0.683
0.250 0.610 0.916
0.750 0.390 0.084
0.250 0.166 0.228
0.750 0.834 0.772
0.250 0.040 0.592
0.750 0.960 0.408
0.250 0.454 0.293
0.750 0.546 0.707
0.250 0.062 0.818
0.750 0.938 0.182
```

***

(4)
A geometry-optimized Tb5Er2ThSc structure. Source: Alexandria via LeMat-Bulk, functional GGA-PBE.

Values from the calculation:
The value obtained for the total magnetic moment is 0.00 μB/cell. Its total energy is -89.04 eV for the cell shown.

```
Tb5Er2ThSc
1.0
5.648 0.000 0.000
-2.824 10.859 0.000
0.000 0.000 9.422
Tb Er Th Sc
10 4 2 2
direct
0.397 0.793 0.045
0.730 0.460 0.823
0.470 0.939 0.748
0.303 0.606 0.719
0.986 0.973 0.514
0.603 0.207 0.545
0.270 0.540 0.323
0.530 0.061 0.248
0.697 0.394 0.219
0.014 0.027 0.014
0.884 0.768 0.823
0.132 0.264 0.710
0.116 0.232 0.323
0.868 0.736 0.210
0.599 0.197 0.926
0.401 0.803 0.426
0.812 0.624 0.515
0.188 0.376 0.015
```

***

(5)
A geometry-optimized Be3ZnCd structure. Source: Alexandria via LeMat-Bulk, functional GGA-PBE.

Values from the calculation:
The value obtained for the total magnetic moment is 0.00 μB/cell. Its total energy is -9.67 eV for the cell shown.

```
Be3ZnCd
1.0
-0.219 1.817 3.789
3.418 -2.130 1.219
2.445 3.141 -1.365
Be Zn Cd
3 1 1
direct
0.000 0.500 0.000
0.000 0.000 0.500
0.500 0.000 0.000
0.000 0.000 0.000
0.500 0.500 0.500
```